No. 1
{
  "formula": "TcSeBr2F",
  "functional": "GGA-PBEsol",
  "state": "optimized geometry",
  "cell": [[-0.256, -4.522, -1.058], [4.794, -0.526, 1.092], [-1.181, -1.030, 4.690]],
  "species": ["Se", "Br", "Br", "Tc", "F"],
  "frac_coords": [[0.500, 0.000, 0.000], [0.000, 0.000, 0.500], [0.000, 0.500, 0.000], [0.000, 0.000, 0.000], [0.500, 0.500, 0.500]],
  "energy_ev_per_atom": -4.10,
  "e_form_raw_ev_per_atom": 0.06,
  "space_group": "No. 123",
  "dos_at_fermi_per_ev_cell": 4.4
}

***

No. 2
{
  "formula": "TiSiHg3",
  "functional": "GGA-PBEsol",
  "state": "optimized geometry",
  "cell": [[5.133, 0.000, 0.000], [0.000, 5.133, 0.000], [0.000, 0.000, 5.133]],
  "species": ["Hg", "Si", "Ti", "Hg", "Hg"],
  "frac_coords": [[0.000, 0.000, 0.500], [0.500, 0.500, 0.500], [0.000, 0.000, 0.000], [0.500, 0.000, 0.000], [0.000, 0.500, 0.000]],
  "energy_ev_per_atom": -2.20,
  "e_form_raw_ev_per_atom": 0.96,
  "space_group": "No. 221",
  "dos_at_fermi_per_ev_cell": 4.1
}

***

No. 3
{
  "formula": "BaLaHg3",
  "functional": "GGA-PBEsol",
  "state": "optimized geometry",
  "cell": [[5.783, 0.000, 0.000], [0.000, 5.783, 0.000], [0.000, 0.000, 5.783]],
  "species": ["Hg", "Hg", "Ba", "La", "Hg"],
  "frac_coords": [[0.000, 0.000, 0.500], [0.500, 0.000, 0.000], [0.000, 0.000, 0.000], [0.500, 0.500, 0.500], [0.000, 0.500, 0.000]],
  "energy_ev_per_atom": -1.48,
  "space_group": "No. 221",
  "dos_at_fermi_per_ev_cell": 7.2,
  "formation_enthalpy_0k_kj_per_mol_atoms": 34.82
}

***

No. 4
{
  "formula": "ScIrSe2",
  "functional": "GGA-PBEsol",
  "state": "optimized geometry",
  "cell": [[4.315, 0.022, 0.000], [-0.905, 4.219, 0.000], [-1.705, -2.120, 4.092]],
  "species": ["Se", "Se", "Ir", "Sc"],
  "frac_coords": [[0.500, 0.000, 0.500], [0.000, 0.500, 0.500], [0.000, 0.000, 0.000], [0.500, 0.500, 0.000]],
  "energy_ev_per_atom": -6.47,
  "e_above_lowest_polymorph_ev_per_fu": 0.14,
  "e_form_raw_ev_per_atom": -0.44,
  "space_group": "No. 69",
  "dos_at_fermi_per_ev_cell": 1.5
}

***

No. 5
{
  "formula": "RbNa2Pb2",
  "functional": "GGA-PBEsol",
  "state": "optimized geometry",
  "cell": [[-1.438, 3.000, 1.248], [-7.149, -5.081, 3.972], [5.138, -0.904, 8.093]],
  "species": ["Na", "Na", "Pb", "Na", "Pb", "Rb", "Pb", "Na", "Rb", "Pb"],
  "frac_coords": [[0.500, 0.326, 0.174], [0.500, 0.174, 0.674], [0.000, 0.115, 0.385], [0.500, 0.826, 0.326], [0.000, 0.385, 0.885], [0.000, 0.000, 0.000], [0.000, 0.615, 0.115], [0.500, 0.674, 0.826], [0.000, 0.500, 0.500], [0.000, 0.885, 0.615]],
  "energy_ev_per_atom": -2.47,
  "e_above_lowest_polymorph_ev_per_fu": 0.00,
  "space_group": "No. 127",
  "dos_at_fermi_per_ev_cell": 4.6,
  "formation_enthalpy_0k_kj_per_mol_atoms": -9.71
}

***

No. 6
{
  "formula": "BaHf3Tl",
  "functional": "GGA-PBEsol",
  "state": "optimized geometry",
  "cell": [[-1.005, -4.616, 2.631], [5.242, -1.299, -0.276], [0.868, 2.499, 4.716]],
  "species": ["Hf", "Hf", "Hf", "Tl", "Ba"],
  "frac_coords": [[0.500, 0.000, 0.000], [0.000, 0.500, 0.000], [0.000, 0.000, 0.500], [0.000, 0.000, 0.000], [0.500, 0.500, 0.500]],
  "energy_ev_per_atom": -6.05,
  "space_group": "No. 221",
  "dos_at_fermi_per_ev_cell": 10.7,
  "formation_enthalpy_0k_kj_per_mol_atoms": 116.83
}

***

No. 7
{
  "formula": "TcAg3",
  "functional": "GGA-PBEsol",
  "state": "optimized geometry",
  "cell": [[2.645, 0.000, 0.000], [0.000, 4.708, 0.000], [0.000, 0.000, 5.068]],
  "species": ["Ag", "Tc", "Ag", "Ag"],
  "frac_coords": [[0.500, 0.500, 0.825], [0.000, 0.500, 0.328], [0.500, 0.000, 0.503], [0.000, 0.000, 0.012]],
  "energy_ev_per_atom": -4.84,
  "e_above_lowest_polymorph_ev_per_fu": 0.52,
  "space_group": "No. 25",
  "dos_at_fermi_per_ev_cell": 3.7,
  "formation_enthalpy_0k_kj_per_mol_atoms": 44.73
}

***

No. 8
{
  "formula": "LaZnRe",
  "functional": "GGA-PBEsol",
  "state": "optimized geometry",
  "cell": [[2.875, 0.000, 0.000], [0.000, 2.875, 0.000], [-1.437, -1.437, 6.793]],
  "species": ["La", "Re", "Zn"],
  "frac_coords": [[0.001, 0.001, 0.002], [0.685, 0.685, 0.369], [0.314, 0.314, 0.628]],
  "energy_ev_per_atom": -6.30,
  "e_above_lowest_polymorph_ev_per_fu": 0.00,
  "space_group": "No. 107",
  "dos_at_fermi_per_ev_cell": 3.4,
  "formation_enthalpy_0k_kj_per_mol_atoms": 44.02
}

***

No. 9
{
  "formula": "TlSn3",
  "functional": "GGA-PBEsol",
  "state": "optimized geometry",
  "cell": [[5.628, 0.000, 0.000], [0.000, 6.617, 0.000], [0.000, -3.309, 5.731]],
  "species": ["Tl", "Sn", "Tl", "Sn", "Sn", "Sn", "Sn", "Sn"],
  "frac_coords": [[0.750, 0.333, 0.667], [0.250, 0.163, 0.837], [0.250, 0.667, 0.333], [0.750, 0.837, 0.163], [0.750, 0.326, 0.163], [0.250, 0.674, 0.837], [0.250, 0.163, 0.326], [0.750, 0.837, 0.674]],
  "energy_ev_per_atom": -3.81,
  "space_group": "No. 194",
  "dos_at_fermi_per_ev_cell": 4.5,
  "formation_enthalpy_0k_kj_per_mol_atoms": 3.81
}

***

No. 10
{
  "formula": "AlSb2WN",
  "functional": "GGA-PBEsol",
  "state": "optimized geometry",
  "cell": [[4.777, 0.000, 0.000], [0.000, 5.158, 0.000], [0.000, 0.000, 5.158]],
  "species": ["W", "Al", "Sb", "N", "Sb"],
  "frac_coords": [[0.500, 0.000, 0.000], [0.000, 0.000, 0.000], [0.000, 0.000, 0.500], [0.500, 0.500, 0.500], [0.000, 0.500, 0.000]],
  "energy_ev_per_atom": -4.69,
  "e_form_raw_ev_per_atom": 2.42,
  "space_group": "No. 123",
  "dos_at_fermi_per_ev_cell": 5.3
}

***

No. 11
{
  "formula": "YScRh4",
  "functional": "GGA-PBEsol",
  "state": "optimized geometry",
  "cell": [[5.193, 0.000, 0.000], [2.596, 4.497, 0.000], [2.596, 1.499, 4.240]],
  "species": ["Rh", "Sc", "Rh", "Rh", "Y", "Rh"],
  "frac_coords": [[0.375, 0.874, 0.375], [0.750, 0.750, 0.750], [0.874, 0.375, 0.375], [0.375, 0.375, 0.874], [0.000, 0.000, 0.000], [0.375, 0.375, 0.375]],
  "energy_ev_per_atom": -8.36,
  "space_group": "No. 216",
  "dos_at_fermi_per_ev_cell": 3.2,
  "formation_enthalpy_0k_kj_per_mol_atoms": -67.58
}

***

No. 12
{
  "formula": "LiV2P2O9",
  "functional": "GGA-PBEsol",
  "state": "optimized geometry",
  "cell": [[6.243, 0.000, 0.000], [0.000, 7.465, 0.000], [0.000, 0.000, 13.800]],
  "species": ["O", "O", "O", "P", "O", "O", "O", "O", "O", "O", "O", "V", "V", "P", "O", "P", "O", "V", "O", "O", "P", "V", "P", "O", "P", "O", "Li", "O", "P", "O", "O", "O", "O", "V", "O", "O", "O", "V", "O", "O", "O", "O", "Li", "O", "O", "O", "O", "V", "O", "O", "Li", "O", "V", "O", "P", "Li"],
  "frac_coords": [[0.250, 0.858, 0.050], [0.943, 0.633, 0.133], [0.750, 0.532, 0.774], [0.250, 0.890, 0.807], [0.956, 0.406, 0.630], [0.544, 0.406, 0.630], [0.250, 0.788, 0.248], [0.250, 0.165, 0.983], [0.443, 0.133, 0.367], [0.557, 0.633, 0.133], [0.750, 0.142, 0.950], [0.500, 0.000, 0.000], [0.250, 0.848, 0.621], [0.750, 0.645, 0.066], [0.443, 0.367, 0.867], [0.750, 0.855, 0.566], [0.750, 0.968, 0.274], [0.250, 0.652, 0.121], [0.250, 0.335, 0.483], [0.250, 0.712, 0.748], [0.250, 0.355, 0.934], [0.750, 0.152, 0.379], [0.750, 0.110, 0.193], [0.250, 0.005, 0.514], [0.750, 0.390, 0.693], [0.456, 0.594, 0.370], [0.750, 0.551, 0.272], [0.044, 0.906, 0.870], [0.250, 0.610, 0.307], [0.044, 0.594, 0.370], [0.557, 0.867, 0.633], [0.057, 0.133, 0.367], [0.544, 0.094, 0.130], [0.500, 0.500, 0.500], [0.750, 0.505, 0.986], [0.750, 0.995, 0.486], [0.456, 0.906, 0.870], [0.750, 0.348, 0.879], [0.250, 0.495, 0.014], [0.250, 0.032, 0.726], [0.750, 0.665, 0.517], [0.250, 0.642, 0.550], [0.750, 0.949, 0.772], [0.057, 0.367, 0.867], [0.750, 0.835, 0.017], [0.250, 0.468, 0.226], [0.750, 0.212, 0.752], [0.000, 0.500, 0.500], [0.943, 0.867, 0.633], [0.750, 0.358, 0.450], [0.250, 0.449, 0.728], [0.956, 0.094, 0.130], [0.000, 0.000, 0.000], [0.750, 0.288, 0.252], [0.250, 0.145, 0.434], [0.250, 0.051, 0.228]],
  "energy_ev_per_atom": -8.01,
  "e_form_raw_ev_per_atom": -2.29,
  "space_group": "No. 62",
  "dos_at_fermi_per_ev_cell": 26.8
}

***

No. 13
{
  "formula": "MgIn2Se4",
  "functional": "GGA-PBEsol",
  "state": "optimized geometry",
  "cell": [[7.058, -0.025, 0.000], [0.027, 8.145, -0.007], [1.195, 2.079, 13.301]],
  "species": ["In", "Mg", "Se", "In", "Se", "Se", "Se", "Se", "Se", "In", "Se", "Se", "In", "Se", "Se", "In", "Se", "Mg", "Mg", "Se", "Se", "Se", "Se", "In", "In", "In", "Se", "Mg"],
  "frac_coords": [[0.761, 0.123, 0.000], [0.751, 0.626, 0.001], [0.601, 0.402, 0.898], [0.861, 0.301, 0.296], [0.901, 0.353, 0.104], [0.099, 0.647, 0.896], [0.814, 0.719, 0.620], [0.185, 0.779, 0.381], [0.186, 0.281, 0.380], [0.371, 0.556, 0.294], [0.402, 0.101, 0.105], [0.894, 0.844, 0.107], [0.239, 0.877, 0.000], [0.689, 0.028, 0.382], [0.815, 0.221, 0.619], [0.371, 0.047, 0.298], [0.598, 0.899, 0.895], [0.249, 0.374, 0.999], [0.868, 0.801, 0.298], [0.311, 0.972, 0.618], [0.313, 0.469, 0.619], [0.106, 0.156, 0.893], [0.687, 0.531, 0.381], [0.629, 0.444, 0.706], [0.139, 0.699, 0.704], [0.629, 0.953, 0.702], [0.399, 0.598, 0.102], [0.132, 0.199, 0.702]],
  "energy_ev_per_atom": -4.02,
  "e_form_raw_ev_per_atom": -0.72,
  "space_group": "No. 2"
}

***

No. 14
{
  "formula": "LiLaTaAg2",
  "functional": "GGA-PBEsol",
  "state": "optimized geometry",
  "cell": [[-0.265, -1.538, 4.317], [5.075, -0.333, 0.193], [0.249, 4.784, 1.720]],
  "species": ["Ag", "Ta", "Ag", "La", "Li"],
  "frac_coords": [[0.000, 0.000, 0.500], [0.500, 0.500, 0.500], [0.000, 0.500, 0.000], [0.000, 0.000, 0.000], [0.500, 0.000, 0.000]],
  "energy_ev_per_atom": -3.49,
  "space_group": "No. 123",
  "dos_at_fermi_per_ev_cell": 4.7,
  "formation_enthalpy_0k_kj_per_mol_atoms": 173.90
}

***

No. 15
{
  "formula": "Mg2PbO4",
  "functional": "GGA-PBEsol",
  "state": "optimized geometry",
  "cell": [[3.160, 0.000, 0.000], [0.000, 5.384, 0.000], [0.000, 0.000, 9.442]],
  "species": ["Mg", "O", "Mg", "O", "O", "Pb", "Pb", "Mg", "Mg", "O", "O", "O", "O", "O"],
  "frac_coords": [[0.000, 0.559, 0.178], [0.500, 0.155, 0.789], [0.000, 0.441, 0.822], [0.000, 0.769, 0.464], [0.500, 0.655, 0.711], [0.500, 0.500, 0.500], [0.500, 0.000, 0.000], [0.000, 0.941, 0.678], [0.000, 0.059, 0.322], [0.000, 0.269, 0.036], [0.000, 0.731, 0.964], [0.500, 0.845, 0.211], [0.500, 0.345, 0.289], [0.000, 0.231, 0.536]],
  "energy_ev_per_atom": -5.91,
  "e_form_raw_ev_per_atom": -1.85,
  "space_group": "No. 55"
}

***

No. 16
{
  "formula": "MnGaS2",
  "functional": "GGA-PBEsol",
  "state": "optimized geometry",
  "cell": [[3.528, 0.000, 0.000], [1.764, 3.055, 0.000], [1.764, 1.018, 7.147]],
  "species": ["Mn", "S", "S", "Ga"],
  "frac_coords": [[0.000, 0.000, 0.000], [0.104, 0.104, 0.688], [0.896, 0.896, 0.312], [0.500, 0.500, 0.500]],
  "energy_ev_per_atom": -5.66,
  "e_above_lowest_polymorph_ev_per_fu": 0.87,
  "e_form_raw_ev_per_atom": -0.19,
  "space_group": "No. 166",
  "dos_at_fermi_per_ev_cell": 1.7
}

***

No. 17
{
  "formula": "CoIr2Cl",
  "functional": "GGA-PBEsol",
  "state": "optimized geometry",
  "cell": [[2.723, 0.000, 0.000], [0.000, 4.537, 0.000], [-1.361, -2.268, 4.357]],
  "species": ["Ir", "Cl", "Ir", "Co"],
  "frac_coords": [[0.758, 0.258, 0.516], [0.509, 0.509, 0.019], [0.994, 0.994, 0.988], [0.239, 0.739, 0.478]],
  "energy_ev_per_atom": -6.53,
  "e_above_lowest_polymorph_ev_per_fu": 1.44,
  "e_form_raw_ev_per_atom": 0.82,
  "space_group": "No. 44",
  "dos_at_fermi_per_ev_cell": 5.8
}

***

No. 18
{
  "formula": "YAsPSe2",
  "functional": "GGA-PBEsol",
  "state": "optimized geometry",
  "cell": [[4.831, 0.000, 0.000], [0.000, 4.831, 0.000], [0.000, 0.000, 5.481]],
  "species": ["P", "Y", "Se", "Se", "As"],
  "frac_coords": [[0.500, 0.500, 0.500], [0.000, 0.000, 0.500], [0.000, 0.500, 0.000], [0.500, 0.000, 0.000], [0.000, 0.000, 0.000]],
  "energy_ev_per_atom": -4.82,
  "e_form_raw_ev_per_atom": 0.26,
  "space_group": "No. 123",
  "dos_at_fermi_per_ev_cell": 5.1
}

***

No. 19
{
  "formula": "K2Tc",
  "functional": "GGA-PBEsol",
  "state": "optimized geometry",
  "cell": [[2.686, 0.000, 0.000], [0.000, 5.895, 0.000], [0.000, -2.947, 5.105]],
  "species": ["K", "Tc", "K"],
  "frac_coords": [[0.000, 0.333, 0.667], [0.500, 0.000, 0.000], [0.000, 0.667, 0.333]],
  "energy_ev_per_atom": -3.03,
  "e_above_lowest_polymorph_ev_per_fu": 1.37,
  "space_group": "No. 191",
  "dos_at_fermi_per_ev_cell": 3.0,
  "formation_enthalpy_0k_kj_per_mol_atoms": 142.69
}

***

No. 20
{
  "formula": "Mg3Pd5",
  "functional": "GGA-PBEsol",
  "state": "optimized geometry",
  "cell": [[4.173, 0.000, 0.000], [0.000, 5.444, 0.000], [0.000, 0.000, 10.675]],
  "species": ["Mg", "Mg", "Mg", "Pd", "Pd", "Pd", "Pd", "Pd", "Pd", "Pd", "Pd", "Mg", "Pd", "Pd", "Mg", "Mg"],
  "frac_coords": [[0.500, 0.675, 0.362], [0.500, 0.325, 0.638], [0.000, 0.000, 0.500], [0.500, 0.313, 0.887], [0.500, 0.187, 0.387], [0.000, 0.412, 0.246], [0.500, 0.687, 0.113], [0.000, 0.088, 0.746], [0.000, 0.588, 0.754], [0.000, 0.000, 0.000], [0.000, 0.912, 0.254], [0.500, 0.175, 0.138], [0.500, 0.813, 0.613], [0.000, 0.500, 0.500], [0.000, 0.500, 0.000], [0.500, 0.825, 0.862]],
  "energy_ev_per_atom": -4.98,
  "space_group": "No. 55",
  "dos_at_fermi_per_ev_cell": 5.8,
  "formation_enthalpy_0k_kj_per_mol_atoms": -59.02
}

***

No. 21
{
  "formula": "Zr3RePd",
  "functional": "GGA-PBEsol",
  "state": "optimized geometry",
  "cell": [[4.861, 0.000, 0.000], [0.000, 4.861, 0.000], [0.000, 0.000, 4.861]],
  "species": ["Re", "Zr", "Pd", "Zr", "Zr"],
  "frac_coords": [[0.500, 0.500, 0.500], [0.000, 0.500, 0.000], [0.000, 0.000, 0.000], [0.500, 0.000, 0.000], [0.000, 0.000, 0.500]],
  "energy_ev_per_atom": -8.25,
  "space_group": "No. 221",
  "dos_at_fermi_per_ev_cell": 6.3,
  "formation_enthalpy_0k_kj_per_mol_atoms": 102.87
}

***

No. 22
{
  "formula": "NbCr3Cu2S8",
  "functional": "GGA-PBEsol",
  "state": "optimized geometry",
  "cell": [[-2.357, -1.987, -1.337], [-1.059, -2.274, 5.244], [-7.635, 7.928, 1.681]],
  "species": ["Cr", "S", "Cr", "S", "S", "Nb", "Cu", "S", "Cr", "S", "S", "S", "Cu", "S"],
  "frac_coords": [[0.500, 0.515, 0.740], [0.500, 0.150, 0.109], [0.000, 0.054, 0.242], [0.500, 0.829, 0.876], [0.500, 0.855, 0.358], [0.500, 0.456, 0.256], [0.500, 0.507, 0.001], [0.000, 0.662, 0.622], [0.000, 0.978, 0.760], [0.500, 0.156, 0.641], [0.000, 0.334, 0.396], [0.000, 0.337, 0.862], [0.000, 0.984, 0.500], [0.000, 0.683, 0.135]],
  "energy_ev_per_atom": -6.74,
  "e_above_lowest_polymorph_ev_per_fu": 0.78,
  "e_form_raw_ev_per_atom": -0.65,
  "space_group": "No. 6",
  "dos_at_fermi_per_ev_cell": 8.3
}

***

No. 23
{
  "formula": "Ir4Ru",
  "functional": "GGA-PBEsol",
  "state": "optimized geometry",
  "cell": [[-0.646, 1.366, 3.502], [3.378, -0.974, 3.080], [1.675, 4.306, 0.706]],
  "species": ["Ir", "Ir", "Ru", "Ir", "Ir"],
  "frac_coords": [[0.601, 0.600, 0.197], [0.799, 0.803, 0.600], [0.000, 0.000, 0.000], [0.201, 0.197, 0.400], [0.399, 0.400, 0.803]],
  "energy_ev_per_atom": -9.92,
  "space_group": "No. 87",
  "dos_at_fermi_per_ev_cell": 4.2,
  "formation_enthalpy_0k_kj_per_mol_atoms": -2.44
}